No. 1
First-principles (PBEsol) data for an optimized crystal structure of Mn2BeRu, as listed in Alexandria via LeMat-Bulk.

The structure in CIF format:
```
data_Mn2BeRu
_chemical_formula_sum 'Mn2 Be1 Ru1'
_cell_length_a 2.7328
_cell_length_b 2.7328
_cell_length_c 5.5489
_cell_angle_alpha 90.00
_cell_angle_beta 90.00
_cell_angle_gamma 90.00
_space_group_name_H-M_alt 'P 4 m m'
_space_group_IT_number 99
_space_group_name_Hall 'P 4 -2'
loop_
_atom_site_label
_atom_site_type_symbol
_atom_site_fract_x
_atom_site_fract_y
_atom_site_fract_z
Mn1 Mn 0.0000 0.0000 0.0000
Mn2 Mn 0.5000 0.5000 0.2273
Be1 Be 0.5000 0.5000 0.7741
Ru1 Ru 0.0000 0.0000 0.5289
```

Values from the calculation:
Formation enthalpy at 0 K in eV per atom: -0.06
Crystal system: tetragonal
Electronic total energy in eV/atom: -8.48

No. 2
First-principles (PBEsol) data for an optimized crystal structure of Mn2BeRu, as listed in Alexandria via LeMat-Bulk.

The structure in CIF format:
```
data_Mn2BeRu
_chemical_formula_sum 'Mn4 Be2 Ru2'
_cell_length_a 2.7978
_cell_length_b 3.7178
_cell_length_c 7.9906
_cell_angle_alpha 90.00
_cell_angle_beta 90.00
_cell_angle_gamma 90.00
_space_group_name_H-M_alt 'I m m m'
_space_group_IT_number 71
_space_group_name_Hall '-I 2 2'
loop_
_atom_site_label
_atom_site_type_symbol
_atom_site_fract_x
_atom_site_fract_y
_atom_site_fract_z
Mn1 Mn 0.0000 0.0000 0.2430
Be1 Be 0.0000 0.5000 0.5000
Ru1 Ru 0.0000 0.5000 0.0000
```

Values from the calculation:
Formation enthalpy at 0 K in eV per atom: -0.09
Crystal system: orthorhombic
Electronic total energy in eV/atom: -8.51

No. 3
First-principles (PBEsol) data for an optimized crystal structure of MnBeRu2, as listed in Alexandria via LeMat-Bulk.

The structure in CIF format:
```
data_MnBeRu2
_chemical_formula_sum 'Mn1 Be1 Ru2'
_cell_length_a 2.8182
_cell_length_b 2.8182
_cell_length_c 5.7347
_cell_angle_alpha 90.00
_cell_angle_beta 90.00
_cell_angle_gamma 90.00
_space_group_name_H-M_alt 'P 4/m m m'
_space_group_IT_number 123
_space_group_name_Hall '-P 4 2'
loop_
_atom_site_label
_atom_site_type_symbol
_atom_site_fract_x
_atom_site_fract_y
_atom_site_fract_z
Mn1 Mn 0.0000 0.0000 0.0000
Be1 Be 0.0000 0.0000 0.5000
Ru1 Ru 0.5000 0.5000 0.2647
```

Values from the calculation:
Formation enthalpy at 0 K in eV per atom: -0.10
Crystal system: tetragonal
Electronic total energy in eV/atom: -8.63

No. 4
First-principles (PBEsol) data for an optimized crystal structure of ZrMn2BeRu, as listed in Alexandria via LeMat-Bulk.

The structure in CIF format:
```
data_ZrMn2BeRu
_chemical_formula_sum 'Zr1 Mn2 Be1 Ru1'
_cell_length_a 4.5589
_cell_length_b 4.5589
_cell_length_c 4.6415
_cell_angle_alpha 90.00
_cell_angle_beta 90.00
_cell_angle_gamma 90.00
_space_group_name_H-M_alt 'P 4/m m m'
_space_group_IT_number 123
_space_group_name_Hall '-P 4 2'
loop_
_atom_site_label
_atom_site_type_symbol
_atom_site_fract_x
_atom_site_fract_y
_atom_site_fract_z
Zr1 Zr 0.0000 0.0000 0.0000
Mn1 Mn 0.0000 0.5000 0.0000
Be1 Be 0.5000 0.5000 0.5000
Ru1 Ru 0.0000 0.0000 0.5000
```

Values from the calculation:
Formation enthalpy at 0 K in eV per atom: 1.87
Crystal system: tetragonal
Electronic total energy in eV/atom: -6.68

No. 5
First-principles (PBEsol) data for an optimized crystal structure of Mn2BeSb, as listed in Alexandria via LeMat-Bulk.

The structure in CIF format:
```
data_Mn2BeSb
_chemical_formula_sum 'Mn2 Be1 Sb1'
_cell_length_a 2.9781
_cell_length_b 2.9781
_cell_length_c 5.5516
_cell_angle_alpha 90.00
_cell_angle_beta 90.00
_cell_angle_gamma 90.00
_space_group_name_H-M_alt 'P 4 m m'
_space_group_IT_number 99
_space_group_name_Hall 'P 4 -2'
loop_
_atom_site_label
_atom_site_type_symbol
_atom_site_fract_x
_atom_site_fract_y
_atom_site_fract_z
Mn1 Mn 0.0000 0.0000 0.0000
Mn2 Mn 0.5000 0.5000 0.2627
Be1 Be 0.5000 0.5000 0.8536
Sb1 Sb 0.0000 0.0000 0.5333
```

Values from the calculation:
Raw formation energy in eV/atom: 0.259
Crystal system: tetragonal
Polymorph energy (0 for the lowest one) in meV per atom: 0.0
Electronic total energy in eV/atom: -6.76

No. 6
First-principles (PBEsol) data for an optimized crystal structure of Mn2BeSb, as listed in Alexandria via LeMat-Bulk.

The structure in CIF format:
```
data_Mn2BeSb
_chemical_formula_sum 'Mn8 Be4 Sb4'
_cell_length_a 5.8675
_cell_length_b 5.8675
_cell_length_c 5.8675
_cell_angle_alpha 90.00
_cell_angle_beta 90.00
_cell_angle_gamma 90.00
_space_group_name_H-M_alt 'F -4 3 m'
_space_group_IT_number 216
_space_group_name_Hall 'F -4 2 3'
loop_
_atom_site_label
_atom_site_type_symbol
_atom_site_fract_x
_atom_site_fract_y
_atom_site_fract_z
Mn1 Mn 0.0000 0.0000 0.0000
Mn2 Mn 0.2500 0.2500 0.2500
Be1 Be 0.2500 0.2500 0.7500
Sb1 Sb 0.0000 0.0000 0.5000
```

Values from the calculation:
Raw formation energy in eV/atom: 0.308
Crystal system: cubic
Polymorph energy (0 for the lowest one) in meV per atom: 49.4
Electronic total energy in eV/atom: -6.71